Computed, not measured: MgMnF4 after structural relaxation at the PBE+U level of DFT.

Output
* D(E_F): 0.0000 states/eV/atom
* energy above the lowest structure with this stoichiometry: 0 kJ/mol of formula units
* density: 3440 kg/m3
* electronic total energy: -70.47 eV/cell
* total moment: 5.00 μB per formula unit

a b c (Å): 4.847 5.769 5.782
angles (deg): 112.02 90.00 90.00
Fractional positions:
Mn 0.500 0.000 0.500
Mg 0.000 0.000 0.000
F 0.294 0.834 0.138
F 0.794 0.666 0.862
Mn 0.000 0.500 0.500
F 0.321 0.365 0.663
F 0.206 0.334 0.138
F 0.706 0.166 0.862
Mg 0.500 0.500 0.000
F 0.821 0.135 0.337
F 0.679 0.635 0.337
F 0.179 0.865 0.663